First-principles (PBE) data for a relaxed CuAgPt crystal, as listed in Alexandria via LeMat-Bulk.

a b c (Å): 2.8401 4.6802 13.8685
angles (deg): 90.00 90.00 90.00
Closest atoms and distances in Å follow each position.
Space group Fmm2 (No. 42)
One atom of each set of equivalent atoms:
Cu (0.0000, 0.0000, 0.0000) x4  2 Pt 2.61, 2 Ag 2.65, 6 Cu 2.74-2.84
Ag (0.0000, 0.0000, 0.6617) x4  2 Cu 2.65, 6 Ag 2.74-2.84, 2 Pt 2.88
Pt (0.0000, 0.0000, 0.3425) x4  2 Cu 2.61, 6 Pt 2.74-2.84, 2 Ag 2.88

Properties
Calculated volume: 184 Å³/cell
Formation enthalpy at 0 K: 19 meV/atom
Relative energy among the computed polymorphs: 44 meV/atom
E: -51.73 eV for the cell shown

***

First-principles (PBE) data for a relaxed Cu2AgPt crystal, as listed in Alexandria via LeMat-Bulk.

a b c (Å): 2.8929 4.4219 8.9702
angles (deg): 90.00 90.00 90.00
Closest atoms and distances in Å follow each position.
Space group Imm2 (No. 44)
One atom of each set of equivalent atoms:
Cu (0.0000, 0.0000, 0.0000) x2  2 Cu 2.50, 2 Pt 2.64, 4 Ag 2.65
Cu (0.0000, 0.5000, 0.2723) x2  2 Cu 2.50, 4 Pt 2.65, 2 Ag 2.69
Ag (0.0000, 0.0000, 0.5191) x2  6 Cu 2.65-2.69, 2 Pt 2.84, 2 Ag 2.89
Pt (0.0000, 0.5000, 0.7464) x2  6 Cu 2.64-2.65, 2 Ag 2.84, 2 Pt 2.89

Properties
Calculated volume: 115 Å³/cell
Formation enthalpy at 0 K: -25 meV/atom
Relative energy among the computed polymorphs: 42 meV/atom
E: -34.37 eV for the cell shown

***

First-principles (PBE) data for a relaxed Cu8AgPt2 crystal, as listed in Alexandria via LeMat-Bulk.

a b c (Å): 13.4584 3.7989 5.9212
angles (deg): 90.00 105.42 90.00
Closest atoms and distances in Å follow each position.
Space group C2/m (No. 12)
One atom of each set of equivalent atoms:
Cu (0.0436, 0.0000, 0.2194) x4  9 Cu 2.55-2.70, 1 Pt 2.60, 2 Ag 2.69
Cu (0.0898, 0.5000, 0.9629) x4  8 Cu 2.57-2.71, 3 Pt 2.66-2.73, 1 Ag 2.69
Cu (0.1383, 0.0000, 0.6830) x4  7 Cu 2.62-2.71, 3 Pt 2.65-2.67, 2 Ag 2.68
Cu (0.1822, 0.5000, 0.4097) x4  3 Pt 2.60-2.62, 8 Cu 2.61-2.69, 1 Ag 2.65
Ag (0.0000, 0.5000, 0.5000) x2  12 Cu 2.65-2.69
Pt (0.2253, 0.0000, 0.1451) x4  10 Cu 2.60-2.73, 2 Pt 2.76

Properties
Calculated volume: 292 Å³/cell
Formation enthalpy at 0 K: -47 meV/atom
E: -96.45 eV for the cell shown

***

First-principles (PBE) data for a relaxed Sc4CuAgPt2 crystal, as listed in Alexandria via LeMat-Bulk.

a b c (Å): 4.6901 4.6901 23.0597
angles (deg): 90.00 90.00 120.00
Closest atoms and distances in Å follow each position.
Space group R-3m (No. 166, hexagonal axes)
One atom of each set of equivalent atoms:
Sc (0.0000, 0.0000, 0.1220) x6  1 Cu 2.81, 4 Pt 2.85-2.95, 3 Ag 2.90
Sc (0.0000, 0.0000, 0.3723) x6  4 Pt 2.82-2.89, 3 Cu 2.85, 1 Ag 2.94
Cu (0.0000, 0.0000, 0.0000) x3  8 Sc 2.81-2.85
Ag (0.0000, 0.0000, 0.5000) x3  8 Sc 2.90-2.94
Pt (0.0000, 0.0000, 0.2501) x6  8 Sc 2.82-2.95

Properties
Calculated volume: 439 Å³/cell
Formation enthalpy at 0 K: -794 meV/atom
E: -152.12 eV for the cell shown

***

First-principles (PBE) data for a relaxed Sc4Cu2AgPt crystal, as listed in Alexandria via LeMat-Bulk.

a b c (Å): 4.6848 4.6848 23.0791
angles (deg): 90.00 90.00 120.00
Closest atoms and distances in Å follow each position.
Space group R-3m (No. 166, hexagonal axes)
One atom of each set of equivalent atoms:
Sc (0.0000, 0.0000, 0.1212) x6  1 Pt 2.80, 4 Cu 2.82-2.89, 3 Ag 2.90
Sc (0.0000, 0.0000, 0.3718) x6  3 Pt 2.85, 4 Cu 2.89-2.93, 1 Ag 2.96
Cu (0.0000, 0.0000, 0.2463) x6  8 Sc 2.82-2.93
Ag (0.0000, 0.0000, 0.5000) x3  8 Sc 2.90-2.96
Pt (0.0000, 0.0000, 0.0000) x3  8 Sc 2.80-2.85

Properties
Calculated volume: 439 Å³/cell
Formation enthalpy at 0 K: -538 meV/atom
E: -140.15 eV for the cell shown

***

First-principles (PBE) data for a relaxed Sm2Cu2AgPt5 crystal, as listed in Alexandria via LeMat-Bulk.

a b c (Å): 9.3897 9.3897 4.0107
angles (deg): 90.00 90.00 90.00
Closest atoms and distances in Å follow each position.
Space group P4/mbm (No. 127)
One atom of each set of equivalent atoms:
Sm (0.1788, 0.3212, 0.0000) x4  3 Cu 2.69-2.85
Cu (0.1189, 0.6189, 0.0000) x4  6 Pt 2.55-2.62, 3 Sm 2.69-2.85
Ag (0.0000, 0.0000, 0.0000) x2  8 Pt 2.87
Pt (0.0000, 0.5000, 0.5000) x2  4 Cu 2.55, 4 Pt 2.81
Pt (0.0674, 0.7918, 0.5000) x8  2 Cu 2.62, 3 Pt 2.81-2.91, 2 Ag 2.87

Properties
Calculated volume: 354 Å³/cell
Formation enthalpy at 0 K: -690 meV/atom
E: -115.17 eV for the cell shown

***

First-principles (PBE) data for a relaxed CuAgSnPt crystal, as listed in Alexandria via LeMat-Bulk.

a b c (Å): 6.4624 6.4624 6.4624
angles (deg): 90.00 90.00 90.00
Closest atoms and distances in Å follow each position.
Space group F-43m (No. 216)
One atom of each set of equivalent atoms:
Cu (0.0000, 0.0000, 0.0000) x4  4 Pt 2.80, 4 Ag 2.80
Ag (0.2500, 0.2500, 0.2500) x4  4 Sn 2.80, 4 Cu 2.80
Sn (0.0000, 0.0000, 0.5000) x4  4 Ag 2.80, 4 Pt 2.80
Pt (0.2500, 0.2500, 0.7500) x4  4 Sn 2.80, 4 Cu 2.80

Properties
Calculated volume: 270 Å³/cell
Formation enthalpy at 0 K: -110 meV/atom
E: -69.73 eV for the cell shown

***

First-principles (PBE) data for a relaxed TbCuAgPt crystal, as listed in Alexandria via LeMat-Bulk.

a b c (Å): 6.6939 6.6939 6.6939
angles (deg): 90.00 90.00 90.00
Closest atoms and distances in Å follow each position.
Space group F-43m (No. 216)
One atom of each set of equivalent atoms:
Tb (0.0000, 0.0000, 0.0000) x4  4 Pt 2.90, 4 Cu 2.90
Cu (0.2500, 0.2500, 0.7500) x4  4 Tb 2.90, 4 Ag 2.90
Ag (0.0000, 0.0000, 0.5000) x4  4 Cu 2.90, 4 Pt 2.90
Pt (0.2500, 0.2500, 0.2500) x4  4 Ag 2.90, 4 Tb 2.90

Properties
Calculated volume: 300 Å³/cell
Formation enthalpy at 0 K: -458 meV/atom
E: -77.80 eV for the cell shown

***

First-principles (PBE) data for a relaxed CuAgTePt2 crystal, as listed in Alexandria via LeMat-Bulk.

a b c (Å): 4.9848 4.9848 5.1101
angles (deg): 90.00 90.00 90.00
Closest atoms and distances in Å follow each position.
Space group P4/mmm (No. 123)
One atom of each set of equivalent atoms:
Cu (0.0000, 0.0000, 0.0000) x1  4 Ag 3.52, 8 Pt 3.57
Ag (0.5000, 0.5000, 0.0000) x1  2 Te 2.56
Te (0.5000, 0.5000, 0.5000) x1  4 Pt 2.49, 2 Ag 2.56
Pt (0.0000, 0.5000, 0.5000) x2  2 Te 2.49

Properties
Calculated volume: 127 Å³/cell
E: -17.75 eV for the cell shown

***

First-principles (PBE) data for a relaxed ThCuAgPt crystal, as listed in Alexandria via LeMat-Bulk.

a b c (Å): 6.8685 6.8685 6.8685
angles (deg): 90.00 90.00 90.00
Closest atoms and distances in Å follow each position.
Space group F-43m (No. 216)
One atom of each set of equivalent atoms:
Th (0.0000, 0.0000, 0.0000) x4  4 Cu 2.97, 4 Pt 2.97
Cu (0.2500, 0.2500, 0.7500) x4  4 Th 2.97, 4 Ag 2.97
Ag (0.0000, 0.0000, 0.5000) x4  4 Cu 2.97, 4 Pt 2.97
Pt (0.2500, 0.2500, 0.2500) x4  4 Ag 2.97, 4 Th 2.97

Properties
Calculated volume: 324 Å³/cell
Formation enthalpy at 0 K: -427 meV/atom
E: -88.47 eV for the cell shown

***

First-principles (PBE) data for a relaxed TlCuAgPt crystal, as listed in Alexandria via LeMat-Bulk.

a b c (Å): 6.5288 6.5288 6.5288
angles (deg): 90.00 90.00 90.00
Closest atoms and distances in Å follow each position.
Space group F-43m (No. 216)
One atom of each set of equivalent atoms:
Tl (0.0000, 0.0000, 0.0000) x4  4 Pt 2.83, 4 Ag 2.83
Cu (0.0000, 0.0000, 0.5000) x4  4 Pt 2.83, 4 Ag 2.83
Ag (0.2500, 0.2500, 0.2500) x4  4 Tl 2.83, 4 Cu 2.83
Pt (0.2500, 0.2500, 0.7500) x4  4 Tl 2.83, 4 Cu 2.83

Properties
Calculated volume: 278 Å³/cell
Formation enthalpy at 0 K: 106 meV/atom
E: -59.73 eV for the cell shown

***

First-principles (PBE) data for a relaxed YCuAg2Pt crystal, as listed in Alexandria via LeMat-Bulk.

a b c (Å): 5.0695 5.0695 4.6778
angles (deg): 90.00 90.00 90.00
Closest atoms and distances in Å follow each position.
Space group P4/mmm (No. 123)
One atom of each set of equivalent atoms:
Y (0.0000, 0.0000, 0.0000) x1  8 Ag 3.45, 4 Cu 3.58
Cu (0.5000, 0.5000, 0.0000) x1  2 Pt 2.34
Ag (0.0000, 0.5000, 0.5000) x2  2 Pt 2.53
Pt (0.5000, 0.5000, 0.5000) x1  2 Cu 2.34, 4 Ag 2.53

Properties
Calculated volume: 120 Å³/cell
Formation enthalpy at 0 K: 322 meV/atom
E: -20.69 eV for the cell shown